This record from Alexandria via LeMat-Bulk describes crystalline ErHfCuOs at its relaxed geometry. The functional is PBE.

Properties
Fermi-level density of states	12.527	states/eV per cell
ρ	13.550	g cm⁻³
DFT formation energy	-1.31	eV per formula unit
VASP energy	-7.788	eV/atom

CIF file:
```
data_ErHfCuOs
_chemical_formula_sum 'Er4 Hf4 Cu4 Os4'
_space_group_name_H-M_alt 'F -4 3 m'
_space_group_IT_number 216
_space_group_name_Hall 'F -4 2 3'
_cell_length_a 6.649
_cell_length_b 6.649
_cell_length_c 6.649
_cell_angle_alpha 90.00
_cell_angle_beta 90.00
_cell_angle_gamma 90.00
loop_
_atom_site_label
_atom_site_type_symbol
_atom_site_fract_x
_atom_site_fract_y
_atom_site_fract_z
_atom_site_occupancy
Er1 Er 0.000 0.000 0.000 1
Hf1 Hf 0.000 0.000 0.500 1
Cu1 Cu 0.250 0.250 0.250 1
Os1 Os 0.250 0.250 0.750 1
```